No. 1
Na3Np2TcN6: relaxed, PBE-GGA.

Values from the calculation:
Uncorrected energy in eV per atom: -8.112
N(E_F) in states/eV/atom: 0.575
Density in g cm⁻³: 7.6
Spin magnetization in μB per formula unit: 0.0
V in Å³/f.u.: 159
Raw formation energy in eV/atom: -0.599

Unit cell a=5.6677 b=5.6677 c=6.0031 alpha=98.95 beta=98.95 gamma=120.04
With the nearest neighbours (Å) after each atom.
Fractional coordinates of all 12 atoms:
Na  0.0000  0.0000  0.0000  6 N 2.56-2.59
Na  0.3412  0.6588  0.0000  6 N 2.54-2.62
Na  0.6588  0.3412  0.0000  6 N 2.54-2.62
Np  0.1668  0.8332  0.5000  6 N 2.17-2.18
Np  0.8332  0.1668  0.5000  6 N 2.17-2.18
Tc  0.5000  0.5000  0.5000  6 N 2.20
N  0.1003  0.4361  0.3084  2 Np 2.17-2.18, 1 Tc 2.20
N  0.2272  0.2272  0.6918  2 Np 2.18, 1 Tc 2.20
N  0.4361  0.1003  0.3084  2 Np 2.17-2.18, 1 Tc 2.20
N  0.5639  0.8997  0.6916  2 Np 2.17-2.18, 1 Tc 2.20
N  0.7728  0.7728  0.3082  2 Np 2.18, 1 Tc 2.20
N  0.8997  0.5639  0.6916  2 Np 2.17-2.18, 1 Tc 2.20



No. 2
BeZn2Pt: relaxed, PBE-GGA.

Values from the calculation:
Uncorrected energy in eV per atom: -3.280
N(E_F) in states/eV/atom: 0.262
Density in g cm⁻³: 10.5
DFT formation energy in eV per atom: -0.20
Spin magnetization in μB per formula unit: 0.0
V in Å³/f.u.: 53

Unit cell a=2.7490 b=4.0959 c=4.8202 alpha=90.00 beta=103.02 gamma=90.00
With the nearest neighbours (Å) after each atom.
Fractional coordinates of all 4 atoms:
Be  0.0000  0.0000  0.0000  4 Zn 2.42, 2 Pt 2.49
Zn  0.1561  0.5000  0.7654  2 Be 2.42, 3 Zn 2.51-2.60, 2 Pt 2.70
Zn  0.8439  0.5000  0.2346  2 Be 2.42, 3 Zn 2.51-2.60, 2 Pt 2.70
Pt  0.5000  0.0000  0.5000  2 Be 2.49, 4 Zn 2.70, 2 Pt 2.75



No. 3
AcPr12Y3: relaxed, PBE-GGA.

Values from the calculation:
Uncorrected energy in eV per atom: -5.038
N(E_F) in states/eV/atom: 1.619
Density in g cm⁻³: 6.3
DFT formation energy in eV per atom: 0.02
Spin magnetization in μB per formula unit: 0.0
V in Å³/f.u.: 575

Unit cell a=5.2415 b=5.2415 c=20.9418 alpha=90.00 beta=90.00 gamma=90.00
With the nearest neighbours (Å) after each atom.
Fractional coordinates of all 16 atoms:
Ac  0.0000  0.0000  0.0000  12 Pr 3.71-3.79
Pr  0.0000  0.5000  0.1305  2 Y 3.68, 8 Pr 3.70-3.79, 2 Ac 3.79
Pr  0.0000  0.5000  0.3769  8 Pr 3.66-3.71, 4 Y 3.68
Pr  0.0000  0.5000  0.6231  8 Pr 3.66-3.71, 4 Y 3.68
Pr  0.0000  0.5000  0.8695  2 Y 3.68, 8 Pr 3.70-3.79, 2 Ac 3.79
Pr  0.5000  0.0000  0.1305  2 Y 3.68, 8 Pr 3.70-3.79, 2 Ac 3.79
Pr  0.5000  0.0000  0.3769  8 Pr 3.66-3.71, 4 Y 3.68
Pr  0.5000  0.0000  0.6231  8 Pr 3.66-3.71, 4 Y 3.68
Pr  0.5000  0.0000  0.8695  2 Y 3.68, 8 Pr 3.70-3.79, 2 Ac 3.79
Pr  0.5000  0.5000  0.0000  4 Ac 3.71, 8 Pr 3.79
Pr  0.5000  0.5000  0.2550  8 Pr 3.66-3.70, 4 Y 3.71
Pr  0.5000  0.5000  0.5000  8 Pr 3.68, 4 Y 3.71
Pr  0.5000  0.5000  0.7450  8 Pr 3.66-3.70, 4 Y 3.71
Y  0.0000  0.0000  0.2537  12 Pr 3.68-3.71
Y  0.0000  0.0000  0.5000  12 Pr 3.68-3.71
Y  0.0000  0.0000  0.7463  12 Pr 3.68-3.71



No. 4
AcTm3N: relaxed, PBE-GGA.

Values from the calculation:
Uncorrected energy in eV per atom: -5.576
N(E_F) in states/eV/atom: 1.468
Density in g cm⁻³: 10.0
Spin magnetization in μB per formula unit: 0.0
V in Å³/f.u.: 124
Raw formation energy in eV/atom: -0.407

Unit cell a=4.9908 b=4.9908 c=4.9908 alpha=90.00 beta=90.00 gamma=90.00
With the nearest neighbours (Å) after each atom.
Fractional coordinates of all 5 atoms:
Ac  0.0000  0.0000  0.0000  12 Tm 3.53
Tm  0.0000  0.5000  0.5000  2 N 2.50
Tm  0.5000  0.0000  0.5000  2 N 2.50
Tm  0.5000  0.5000  0.0000  2 N 2.50
N  0.5000  0.5000  0.5000  6 Tm 2.50



No. 5
Rb2NaSrI5: relaxed, PBE-GGA.

Values from the calculation:
Uncorrected energy in eV per atom: -2.916
N(E_F) in states/eV/atom: 0.000
Density in g cm⁻³: 3.6
Spin magnetization in μB per formula unit: 0.0
V in Å³/f.u.: 428
Raw formation energy in eV/atom: -1.506

Unit cell a=10.8166 b=10.8166 c=16.3716 alpha=90.00 beta=90.00 gamma=153.48
With the nearest neighbours (Å) after each atom.
Fractional coordinates of all 18 atoms:
Rb  0.0920  0.9080  0.5000  6 I 3.66-3.79
Rb  0.1314  0.8686  0.1426  7 I 3.72-3.99
Rb  0.8686  0.1314  0.6426  7 I 3.72-3.99
Rb  0.9080  0.0920  0.0000  6 I 3.66-3.79
Na  0.4576  0.5424  0.2864  3 I 3.02-3.08
Na  0.5424  0.4576  0.7864  3 I 3.02-3.08
Sr  0.2202  0.7798  0.8621  6 I 3.28-3.37
Sr  0.7798  0.2202  0.3621  6 I 3.28-3.37
I  0.0661  0.9339  0.8934  2 Na 3.08, 1 Sr 3.28
I  0.2695  0.7305  0.5007  2 Sr 3.37, 1 Rb 3.74
I  0.3022  0.6978  0.2301  2 Sr 3.32, 1 Na 3.40
I  0.3739  0.6261  0.8309  1 Sr 3.28, 1 Na 3.62
I  0.4978  0.5022  0.6108  1 Na 3.02
I  0.5022  0.4978  0.1108  1 Na 3.02
I  0.6261  0.3739  0.3309  1 Sr 3.28, 1 Na 3.62
I  0.6978  0.3022  0.7301  2 Sr 3.32, 1 Na 3.40
I  0.7305  0.2695  0.0007  2 Sr 3.37, 1 Rb 3.74
I  0.9339  0.0661  0.3934  2 Na 3.08, 1 Sr 3.28



No. 6
KBa3: relaxed, PBE-GGA.

Values from the calculation:
Uncorrected energy in eV per atom: -1.619
N(E_F) in states/eV/atom: 1.502
Density in g cm⁻³: 2.8
Excess energy over the best structure of this formula in the dataset in meV per atom: 51
DFT formation energy in eV per atom: 0.10
Spin magnetization in μB per formula unit: 0.0
V in Å³/f.u.: 266

Unit cell a=9.0544 b=9.0544 c=7.4932 alpha=90.00 beta=90.00 gamma=120.00
With the nearest neighbours (Å) after each atom.
Fractional coordinates of all 8 atoms:
K  0.3333  0.6667  0.2500  12 Ba 4.53-4.60
K  0.6667  0.3333  0.7500  12 Ba 4.53-4.60
Ba  0.1633  0.3267  0.7500  8 Ba 4.44-4.62, 4 K 4.53-4.60
Ba  0.1633  0.8367  0.7500  8 Ba 4.44-4.62, 4 K 4.53-4.60
Ba  0.3267  0.1633  0.2500  8 Ba 4.44-4.62, 4 K 4.53-4.60
Ba  0.6733  0.8367  0.7500  8 Ba 4.44-4.62, 4 K 4.53-4.60
Ba  0.8367  0.1633  0.2500  8 Ba 4.44-4.62, 4 K 4.53-4.60
Ba  0.8367  0.6733  0.2500  8 Ba 4.44-4.62, 4 K 4.53-4.60



No. 7
Tb4GaHg3: relaxed, PBE-GGA.

Values from the calculation:
Uncorrected energy in eV per atom: -3.310
N(E_F) in states/eV/atom: 0.942
Density in g cm⁻³: 10.7
DFT formation energy in eV per atom: -0.50
Spin magnetization in μB per formula unit: 0.4
V in Å³/f.u.: 203

Unit cell a=3.6841 b=3.6841 c=14.9421 alpha=90.00 beta=90.00 gamma=90.00
With the nearest neighbours (Å) after each atom.
Fractional coordinates of all 8 atoms:
Tb  0.0000  0.0000  0.1164  4 Ga 3.13, 4 Hg 3.24, 1 Tb 3.48
Tb  0.0000  0.0000  0.3722  8 Hg 3.23
Tb  0.0000  0.0000  0.6278  8 Hg 3.23
Tb  0.0000  0.0000  0.8836  4 Ga 3.13, 4 Hg 3.24, 1 Tb 3.48
Ga  0.5000  0.5000  0.0000  8 Tb 3.13
Hg  0.5000  0.5000  0.2449  8 Tb 3.23-3.24
Hg  0.5000  0.5000  0.5000  8 Tb 3.23
Hg  0.5000  0.5000  0.7551  8 Tb 3.23-3.24



No. 8
Sm2HoRh2: relaxed, PBE-GGA.

Values from the calculation:
Uncorrected energy in eV per atom: -6.399
N(E_F) in states/eV/atom: 0.565
Density in g cm⁻³: 8.8
DFT formation energy in eV per atom: -0.65
Spin magnetization in μB per formula unit: 0.0
V in Å³/f.u.: 127

Unit cell a=6.7945 b=6.7945 c=9.8585 alpha=90.00 beta=90.00 gamma=146.19
With the nearest neighbours (Å) after each atom.
Fractional coordinates of all 10 atoms:
Sm  0.0988  0.9012  0.5000  4 Rh 2.78-2.87
Sm  0.3618  0.6382  0.6793  4 Rh 2.84-3.01
Sm  0.6382  0.3618  0.1793  4 Rh 2.84-3.01
Sm  0.9012  0.0988  0.0000  4 Rh 2.78-2.87
Ho  0.3503  0.6497  0.3111  4 Rh 2.76-2.92
Ho  0.6497  0.3503  0.8111  4 Rh 2.76-2.92
Rh  0.0075  0.9925  0.7551  2 Ho 2.76, 4 Sm 2.78-2.84
Rh  0.2413  0.7587  0.9931  4 Sm 2.87-3.01, 2 Ho 2.92
Rh  0.7587  0.2413  0.4931  4 Sm 2.87-3.01, 2 Ho 2.92
Rh  0.9925  0.0075  0.2551  2 Ho 2.76, 4 Sm 2.78-2.84



No. 9
Th8Te4Os3Pd: relaxed, PBE-GGA.

Values from the calculation:
Uncorrected energy in eV per atom: -7.800
N(E_F) in states/eV/atom: 0.516
Density in g cm⁻³: 10.7
Spin magnetization in μB per formula unit: 0.0
V in Å³/f.u.: 472
Raw formation energy in eV/atom: -0.875

Unit cell a=9.1055 b=9.1055 c=9.1055 alpha=55.04 beta=55.04 gamma=55.04
With the nearest neighbours (Å) after each atom.
Fractional coordinates of all 16 atoms:
Th  0.2236  0.7393  0.7393  2 Os 2.85, 1 Pd 2.95
Th  0.2335  0.2335  0.2335  3 Os 2.88
Th  0.2607  0.2607  0.7764  2 Os 2.85, 1 Pd 2.95
Th  0.2607  0.7764  0.2607  2 Os 2.85, 1 Pd 2.95
Th  0.7393  0.2236  0.7393  2 Os 2.85, 1 Pd 2.95
Th  0.7393  0.7393  0.2236  2 Os 2.85, 1 Pd 2.95
Th  0.7665  0.7665  0.7665  3 Os 2.88
Th  0.7764  0.2607  0.2607  2 Os 2.85, 1 Pd 2.95
Te  0.0000  0.0000  0.0000  6 Th 3.29
Te  0.0000  0.5000  0.5000  6 Th 3.35-3.37
Te  0.5000  0.0000  0.5000  6 Th 3.35-3.37
Te  0.5000  0.5000  0.0000  6 Th 3.35-3.37
Os  0.0000  0.0000  0.5000  6 Th 2.85-2.88
Os  0.0000  0.5000  0.0000  6 Th 2.85-2.88
Os  0.5000  0.0000  0.0000  6 Th 2.85-2.88
Pd  0.5000  0.5000  0.5000  6 Th 2.95



No. 10
Ba2ScCd: relaxed, PBE-GGA.

Values from the calculation:
Uncorrected energy in eV per atom: -2.433
N(E_F) in states/eV/atom: 2.159
Density in g cm⁻³: 4.5
DFT formation energy in eV per atom: 0.34
Spin magnetization in μB per formula unit: 0.0
V in Å³/f.u.: 159

Unit cell a=7.6071 b=7.6071 c=7.6071 alpha=102.07 beta=102.07 gamma=125.58
With the nearest neighbours (Å) after each atom.
Fractional coordinates of all 8 atoms:
Ba  0.1000  0.6250  0.9750  2 Cd 3.33, 2 Ba 3.51, 2 Sc 3.66
Ba  0.3750  0.3500  0.4750  2 Cd 3.33, 2 Ba 3.51, 2 Sc 3.66
Ba  0.6500  0.1250  0.0250  2 Cd 3.33, 2 Ba 3.51, 2 Sc 3.66
Ba  0.8750  0.9000  0.5250  2 Cd 3.33, 2 Ba 3.51, 2 Sc 3.66
Sc  0.2500  0.7500  0.5000  2 Cd 3.48, 4 Ba 3.66
Sc  0.5000  0.5000  0.0000  2 Cd 3.48, 4 Ba 3.66
Cd  0.0000  0.0000  0.0000  4 Ba 3.33, 2 Sc 3.48
Cd  0.7500  0.2500  0.5000  4 Ba 3.33, 2 Sc 3.48



No. 11
La2YPb: relaxed, PBE-GGA.

Values from the calculation:
Uncorrected energy in eV per atom: -5.258
N(E_F) in states/eV/atom: 1.546
Density in g cm⁻³: 7.4
DFT formation energy in eV per atom: -0.25
Spin magnetization in μB per formula unit: 0.3
V in Å³/f.u.: 129

Unit cell a=4.2239 b=4.2239 c=7.2338 alpha=90.00 beta=90.00 gamma=90.00
With the nearest neighbours (Å) after each atom.
Fractional coordinates of all 4 atoms:
La  0.0000  0.0000  0.0000  4 La 3.56, 2 Pb 3.57-3.66, 4 Y 3.64
La  0.5000  0.5000  0.2678  1 Y 3.22, 4 Pb 3.45, 4 La 3.56
Y  0.5000  0.5000  0.7127  1 La 3.22, 4 Pb 3.34
Pb  0.0000  0.0000  0.5065  4 Y 3.34, 6 La 3.45-3.66